Record 1
Material: Zr2Cu2P
Method: DFT, PBE-GGA
State: optimized geometry

Calculated values
final energy	-6.456	eV per atom
mass density	6.9	g cm⁻³
space group	P4/mbm (127)

abc: 6.293 6.293 4.154
angles: 90.00 90.00 90.00
Element x y z (fractional)
Zr: 0.168 0.332 0.000
Zr: 0.332 0.832 0.000
Zr: 0.668 0.168 0.000
Zr: 0.832 0.668 0.000
Cu: 0.135 0.635 0.500
Cu: 0.365 0.135 0.500
Cu: 0.635 0.865 0.500
Cu: 0.865 0.365 0.500
P: 0.000 0.000 0.500
P: 0.500 0.500 0.500

Record 2
Material: ZrCuP2
Method: DFT, PBE-GGA
State: optimized geometry

Calculated values
final energy	-6.414	eV per atom
mass density	5.6	g cm⁻³
space group	Cm (8)

abc: 9.942 3.483 3.798
angles: 90.00 100.32 90.00
Element x y z (fractional)
Zr: 0.000 0.000 0.000
Zr: 0.500 0.500 0.000
Cu: 0.271 0.500 0.393
Cu: 0.771 0.000 0.393
P: 0.059 0.500 0.527
P: 0.287 0.000 0.947
P: 0.559 0.000 0.527
P: 0.787 0.500 0.947

Record 3
Material: ZrCuP
Method: DFT, PBE-GGA
State: optimized geometry

Calculated values
final energy	-6.807	eV per atom
mass density	6.7	g cm⁻³
space group	Cmcm (63)

abc: 3.801 9.227 5.242
angles: 90.00 90.00 90.00
Element x y z (fractional)
Zr: 0.000 0.201 0.250
Zr: 0.000 0.799 0.750
Zr: 0.500 0.299 0.750
Zr: 0.500 0.701 0.250
Cu: 0.000 0.500 0.000
Cu: 0.000 0.500 0.500
Cu: 0.500 0.000 0.000
Cu: 0.500 0.000 0.500
P: 0.000 0.101 0.750
P: 0.000 0.899 0.250
P: 0.500 0.399 0.250
P: 0.500 0.601 0.750

Record 4
Material: Pa5Cu
Method: DFT, PBE-GGA
State: optimized geometry

Calculated values
final energy	-8.550	eV per atom
mass density	14.6	g cm⁻³
space group	Cmmm (65)

abc: 5.454 15.860 3.208
angles: 90.00 90.00 90.00
Element x y z (fractional)
Pa: 0.000 0.000 0.000
Pa: 0.000 0.168 0.500
Pa: 0.000 0.343 0.000
Pa: 0.000 0.657 0.000
Pa: 0.000 0.832 0.500
Pa: 0.500 0.157 0.000
Pa: 0.500 0.332 0.500
Pa: 0.500 0.500 0.000
Pa: 0.500 0.668 0.500
Pa: 0.500 0.843 0.000
Cu: 0.000 0.500 0.500
Cu: 0.500 0.000 0.500

Record 5
Material: Pa3Cu11
Method: DFT, PBE-GGA
State: optimized geometry

Calculated values
final energy	-5.256	eV per atom
mass density	10.5	g cm⁻³
space group	Immm (71)

abc: 7.714 7.714 7.714
angles: 148.59 110.85 77.91
Element x y z (fractional)
Pa: 0.000 0.000 0.000
Pa: 0.299 0.299 0.000
Pa: 0.701 0.701 0.000
Cu: 0.026 0.667 0.359
Cu: 0.155 0.875 0.281
Cu: 0.308 0.667 0.641
Cu: 0.309 0.500 0.809
Cu: 0.406 0.125 0.281
Cu: 0.500 0.000 0.500
Cu: 0.594 0.875 0.719
Cu: 0.691 0.500 0.191
Cu: 0.692 0.333 0.359
Cu: 0.845 0.125 0.719
Cu: 0.974 0.333 0.641

Record 6
Material: PaCu
Method: DFT, PBE-GGA
State: optimized geometry

Calculated values
final energy	-6.624	eV per atom
mass density	12.7	g cm⁻³
space group	P2_1/m (11)

abc: 3.271 3.866 6.114
angles: 90.00 92.93 90.00
Element x y z (fractional)
Pa: 0.192 0.250 0.128
Pa: 0.808 0.750 0.872
Cu: 0.279 0.250 0.598
Cu: 0.721 0.750 0.402

Record 7
Material: Pa4Cu
Method: DFT, PBE-GGA
State: optimized geometry

Calculated values
final energy	-7.613	eV per atom
mass density	12.0	g cm⁻³
space group	Pm-3m (221)

abc: 5.148 5.148 5.148
angles: 90.00 90.00 90.00
Element x y z (fractional)
Pa: 0.000 0.000 0.000
Pa: 0.000 0.500 0.500
Pa: 0.500 0.000 0.500
Pa: 0.500 0.500 0.000
Cu: 0.500 0.500 0.500

Record 8
Material: Pa2Cu7
Method: DFT, PBE-GGA
State: optimized geometry

Calculated values
final energy	-5.286	eV per atom
mass density	10.8	g cm⁻³
space group	R-3m (166)

abc: 12.822 12.822 12.822
angles: 22.80 22.80 22.80
Element x y z (fractional)
Pa: 0.053 0.053 0.053
Pa: 0.153 0.153 0.153
Pa: 0.847 0.847 0.847
Pa: 0.947 0.947 0.947
Cu: 0.000 0.500 0.500
Cu: 0.110 0.609 0.609
Cu: 0.279 0.279 0.279
Cu: 0.388 0.388 0.388
Cu: 0.391 0.391 0.890
Cu: 0.391 0.890 0.391
Cu: 0.500 0.000 0.500
Cu: 0.500 0.500 0.000
Cu: 0.500 0.500 0.500
Cu: 0.609 0.110 0.609
Cu: 0.609 0.609 0.110
Cu: 0.612 0.612 0.612
Cu: 0.721 0.721 0.721
Cu: 0.890 0.391 0.391

Record 9
Material: PaCu4
Method: DFT, PBE-GGA
State: optimized geometry

Calculated values
final energy	-3.459	eV per atom
mass density	6.3	g cm⁻³
space group	Pm-3m (221)

abc: 5.047 5.047 5.047
angles: 90.00 90.00 90.00
Element x y z (fractional)
Pa: 0.000 0.000 0.000
Cu: 0.000 0.000 0.500
Cu: 0.000 0.500 0.000
Cu: 0.500 0.000 0.000
Cu: 0.500 0.500 0.500

Record 10
Material: PaCu2Pb
Method: DFT, PBE-GGA
State: optimized geometry

Calculated values
final energy	-5.109	eV per atom
mass density	11.5	g cm⁻³
space group	P4/mmm (123)

abc: 4.658 4.658 3.763
angles: 90.00 90.00 90.00
Element x y z (fractional)
Pa: 0.000 0.000 0.000
Cu: 0.000 0.500 0.500
Cu: 0.500 0.000 0.500
Pb: 0.500 0.500 0.000

Record 11
Material: Pa2CuPbS8
Method: DFT, PBE-GGA
State: optimized geometry

Calculated values
final energy	-5.734	eV per atom
mass density	6.6	g cm⁻³
space group	P-3m1 (164)
uncorrected formation energy	-9.0	eV/f.u.

abc: 5.876 5.876 8.356
angles: 90.00 90.00 120.00
Element x y z (fractional)
Pa: 0.333 0.667 0.368
Pa: 0.667 0.333 0.632
Cu: 0.000 0.000 0.500
Pb: 0.000 0.000 0.000
S: 0.176 0.352 0.670
S: 0.176 0.824 0.670
S: 0.333 0.667 0.072
S: 0.352 0.176 0.330
S: 0.648 0.824 0.670
S: 0.667 0.333 0.928
S: 0.824 0.176 0.330
S: 0.824 0.648 0.330

Record 12
Material: Pa2CuPd
Method: DFT, PBE-GGA
State: optimized geometry

Calculated values
final energy	-7.155	eV per atom
mass density	12.7	g cm⁻³
space group	P4/mmm (123)

abc: 3.618 3.618 6.306
angles: 90.00 90.00 90.00
Element x y z (fractional)
Pa: 0.000 0.000 0.240
Pa: 0.000 0.000 0.760
Cu: 0.500 0.500 0.000
Pd: 0.500 0.500 0.500